Computed, not measured: a relaxed structure of NaLi2TlF8 at the PBE level of DFT.

a b c (Å): 6.827 6.827 7.365
angles (deg): 90.00 90.00 90.00
Space group I-4m2 (No. 119)
Unique sites:
Na (0.000, 0.000, 0.000)
Li (0.000, 0.000, 0.500)
Li (0.000, 0.500, 0.250)
Tl (0.000, 0.500, 0.750)
F (0.000, 0.188, 0.701)
F (0.000, 0.343, 0.045)

Results
ΔE_f (raw) ... -1.95 eV/atom
Crystal system ... tetragonal